# 1
{"formula": "Ho4TmSc4", "functional": "PBE", "state": "relaxed", "dos_ef_per_ev_atom": 1.538, "sg": "I4/mmm, No. 139", "mass_density_g_cm3": 6.68, "total_magnetization_mub_per_atom": 0.00, "ef_ev_per_fu": 0.464, "cell": [[4.807, 0.000, 0.000], [2.403, 7.224, 0.000], [2.403, 0.000, 7.224]], "species": ["Ho", "Ho", "Ho", "Ho", "Tm", "Sc", "Sc", "Sc", "Sc"], "frac_coords": [[0.671, 0.329, 0.329], [0.329, 0.671, 0.671], [0.000, 0.671, 0.329], [0.000, 0.329, 0.671], [0.000, 0.000, 0.000], [0.666, 0.668, 0.000], [0.334, 0.332, 0.000], [0.666, 0.000, 0.668], [0.334, 0.000, 0.332]]}



# 2
{"formula": "K4Pm3ScSe8", "functional": "PBE", "state": "relaxed", "formation_energy_uncorrected_mev_per_atom": -1712, "dos_ef_per_ev_atom": 0.000, "sg": "R-3m, No. 166", "mass_density_g_cm3": 4.38, "total_magnetization_mub_per_atom": 0.00, "cell": [[-8.315, -1.718, -0.299], [1.163, -4.238, -7.990], [4.650, -2.646, 6.600]], "species": ["K", "K", "K", "K", "Pm", "Pm", "Pm", "Sc", "Se", "Se", "Se", "Se", "Se", "Se", "Se", "Se"], "frac_coords": [[0.500, 0.000, 0.000], [0.500, 0.000, 0.500], [0.000, 0.000, 0.000], [0.000, 0.000, 0.500], [0.500, 0.500, 0.000], [0.500, 0.500, 0.500], [0.000, 0.500, 0.500], [0.000, 0.500, 0.000], [0.227, 0.704, 0.977], [0.227, 0.704, 0.453], [0.263, 0.288, 0.525], [0.751, 0.704, 0.977], [0.249, 0.296, 0.023], [0.737, 0.712, 0.475], [0.773, 0.296, 0.547], [0.773, 0.296, 0.023]]}